A plane-wave DFT calculation with PBE-GGA was carried out for a relaxed LaEuBr crystal.

Cell: 3.9335 3.9335 7.7874 Å, 90.00 90.00 120.00°
Space group P3m1 (No. 156)
Asymmetric unit:
La (0.0000, 0.0000, 0.0000) (multiplicity 1)
Eu (0.3333, 0.6667, 0.5997) (multiplicity 1)
Br (0.6667, 0.3333, 0.2975) (multiplicity 1)

Results
calculated total energy = -19.45 eV/cell
energy relative to the elements, uncorrected = -0.86 eV per atom

=====

A plane-wave DFT calculation with PBE-GGA was carried out for a relaxed BaTcP2O crystal.

Cell: 4.950 4.950 3.927 Å, 90.00 90.00 90.00°
Space group P4/mmm (No. 123)
Asymmetric unit:
Ba (0.000, 0.000, 0.000) (multiplicity 1)
Tc (0.500, 0.500, 0.500) (multiplicity 1)
P (0.000, 0.500, 0.500) (multiplicity 2)
O (0.500, 0.500, 0.000) (multiplicity 1)

Results
ΔE to the lowest computed polymorph = 0.000 eV/atom
calculated total energy = -31.03 eV/cell
energy relative to the elements, uncorrected = -0.59 eV per atom

=====

A plane-wave DFT calculation with PBE-GGA was carried out for a relaxed AcMoI2 crystal.

Cell: 4.0728 4.0728 31.6863 Å, 90.00 90.00 120.00°
Space group R-3m (No. 166, hexagonal axes)
Asymmetric unit:
Ac (0.0000, 0.0000, 0.0000) (multiplicity 3)
Mo (0.0000, 0.0000, 0.5000) (multiplicity 3)
I (0.0000, 0.0000, 0.4113) (multiplicity 6)

Results
calculated total energy = -50.87 eV/cell
energy relative to the elements, uncorrected = 0.27 eV per atom